[1]
A plane-wave DFT calculation with PBE was carried out for a geometry-optimized Li2Tb3Ga4 structure.

SG: No. 12

Cell: 5.7308 5.7308 8.6821 Å, 113.58 113.58 46.91°
Fractional positions:
Li 0.1059 0.1059 0.2754
Li 0.8941 0.8941 0.7246
Tb 0.1685 0.1685 0.6600
Tb 0.5000 0.5000 0.0000
Tb 0.8315 0.8315 0.3400
Ga 0.2376 0.2376 0.0761
Ga 0.4584 0.4584 0.6248
Ga 0.5416 0.5416 0.3752
Ga 0.7624 0.7624 0.9239


[2]
A plane-wave DFT calculation with PBE was carried out for a geometry-optimized Li4Tb3Ga4 structure.

Energy above the most stable polymorph in this dataset (meV per atom): 0.0
SG: No. 71

Cell: 14.5971 14.5971 14.5971 Å, 166.54 161.81 22.70°
Fractional positions:
Li 0.0919 0.0919 0.0000
Li 0.2579 0.7579 0.5000
Li 0.7421 0.2421 0.5000
Li 0.9081 0.9081 0.0000
Tb 0.0000 0.5000 0.5000
Tb 0.3578 0.3578 0.0000
Tb 0.6422 0.6422 0.0000
Ga 0.1825 0.1825 0.0000
Ga 0.4525 0.9525 0.5000
Ga 0.5475 0.0475 0.5000
Ga 0.8175 0.8175 0.0000


[3]
A plane-wave DFT calculation with PBE was carried out for a geometry-optimized Li2TbGa9 structure.

SG: No. 123

Cell: 4.1314 4.1314 12.5691 Å, 90.00 90.00 90.00°
Fractional positions:
Li 0.0000 0.0000 0.1638
Li 0.0000 0.0000 0.8362
Tb 0.0000 0.0000 0.5000
Ga 0.0000 0.5000 0.0000
Ga 0.0000 0.5000 0.3192
Ga 0.0000 0.5000 0.6808
Ga 0.5000 0.0000 0.0000
Ga 0.5000 0.0000 0.3192
Ga 0.5000 0.0000 0.6808
Ga 0.5000 0.5000 0.1658
Ga 0.5000 0.5000 0.5000
Ga 0.5000 0.5000 0.8342


Calculated values (eV per atom) of energy of formation for the records, taken in order: -0.493 -0.374 -0.277.